Record 1
Material: DySb2Pb
Method: DFT, GGA-PBE
State: optimized geometry

The calculation puts the total energy at -4.5670 eV/atom. Its raw formation energy is -1.71 eV per formula unit.

The structure belongs to space group R-3m (No. 166, hexagonal axes); the cell edges are 4.3782, 4.3782 and 23.0775 Å and the angles 90.00°, 90.00° and 120.00°. The asymmetric unit holds Dy at (0.0000, 0.0000, 0.0000), Sb at (0.0000, 0.0000, 0.2554) and Pb at (0.0000, 0.0000, 0.5000).

Record 2
Material: Dy5Sb2Pb2
Method: DFT, GGA-PBE
State: optimized geometry

The calculation puts the total energy at -4.8092 eV/atom. Its raw formation energy is -4.61 eV per formula unit.

The structure belongs to space group Ima2 (No. 46); the cell edges are 17.9043, 7.6440 and 8.3218 Å and the angles 90.00°, 90.00° and 90.00°. The asymmetric unit holds Dy at (0.0685, 0.2068, 0.0000), Dy at (0.1518, 0.6614, 0.8845), Dy at (0.2500, 0.1737, 0.7576), Sb at (0.0987, 0.5264, 0.2055), Pb at (0.0000, 0.0000, 0.2722) and Pb at (0.2500, 0.5312, 0.5811).

Record 3
Material: DySb2Pb
Method: DFT, GGA-PBE
State: optimized geometry

The calculation puts the total energy at -4.5319 eV/atom. Its raw formation energy is -1.57 eV per formula unit.

The structure belongs to space group R3m (No. 160, hexagonal axes); the cell edges are 4.5471, 4.5471 and 21.9476 Å and the angles 90.00°, 90.00° and 120.00°. The asymmetric unit holds Dy at (0.0000, 0.0000, 0.0000), Sb at (0.0000, 0.0000, 0.4085), Sb at (0.0000, 0.0000, 0.5909) and Pb at (0.0000, 0.0000, 0.8297).

Record 4
Material: Dy5Sb4Pb
Method: DFT, GGA-PBE
State: optimized geometry

The calculation puts the total energy at -5.2843 eV/atom. Its raw formation energy is -9.63 eV per formula unit.

The structure belongs to space group I4/m (No. 87); the cell edges are 9.8285, 9.8285 and 6.2147 Å and the angles 90.00°, 90.00° and 90.00°. The asymmetric unit holds Dy at (0.0000, 0.0000, 0.0000), Dy at (0.1016, 0.6961, 0.5000), Sb at (0.1005, 0.7001, 0.0000) and Pb at (0.0000, 0.0000, 0.5000).